1.
The following is a DFT calculation (PBE) of a geometry-optimized NdTm2Mn structure.

The space group is P4/mmm (No. 123) and the conventional cell measures 3.4477, 3.4477 and 9.0061 Å, with angles of 90.00, 90.00 and 90.00 degrees. Symmetry generates all atoms from Nd at (0.0000, 0.0000, 0.0000), Tm at (0.5000, 0.5000, 0.3095) and Mn at (0.0000, 0.0000, 0.5000).

As for the formation enthalpy at 0 K: 99.4 meV/atom. The total magnetization comes out at 2.83 μB per cell.

2.
The following is a DFT calculation (PBE) of a geometry-optimized NdTmMnZn structure.

The space group is F-43m (No. 216) and the conventional cell measures 7.1691, 7.1691 and 7.1691 Å, with angles of 90.00, 90.00 and 90.00 degrees. Symmetry generates all atoms from Nd at (0.0000, 0.0000, 0.0000), Tm at (0.0000, 0.0000, 0.5000), Mn at (0.2500, 0.2500, 0.2500) and Zn at (0.2500, 0.2500, 0.7500).

As for the formation enthalpy at 0 K: -16.0 meV/atom. The total magnetization comes out at 11.83 μB per cell.

3.
The following is a DFT calculation (PBE) of a geometry-optimized NdUMn structure.

The space group is C2/m (No. 12) and the conventional cell measures 11.7832, 3.4523 and 8.6613 Å, with angles of 90.00, 130.96 and 90.00 degrees. Symmetry generates all atoms from Nd at (0.0722, 0.0000, 0.3308), U at (0.2003, 0.5000, 0.1075) and Mn at (0.1564, 0.5000, 0.6879).

As for the formation enthalpy at 0 K: 151.3 meV/atom. The total magnetization comes out at 0.00 μB per cell.

4.
The following is a DFT calculation (PBE) of a geometry-optimized NdMnV2 structure.

The space group is R-3m (No. 166, hexagonal axes) and the conventional cell measures 3.8508, 3.8508 and 17.6378 Å, with angles of 90.00, 90.00 and 120.00 degrees. Symmetry generates all atoms from Nd at (0.0000, 0.0000, 0.0000), Mn at (0.0000, 0.0000, 0.5000) and V at (0.0000, 0.0000, 0.2082).

As for the formation enthalpy at 0 K: 289.3 meV/atom. The total magnetization comes out at 0.00 μB per cell.

5.
The following is a DFT calculation (PBE) of a geometry-optimized NdMnV structure.

The space group is Cmcm (No. 63) and the conventional cell measures 3.6989, 11.5717 and 5.5263 Å, with angles of 90.00, 90.00 and 90.00 degrees. Symmetry generates all atoms from Nd at (0.0000, 0.2110, 0.2500), Mn at (0.0000, 0.5000, 0.0000) and V at (0.0000, 0.0561, 0.7500).

As for the formation enthalpy at 0 K: 191.8 meV/atom. The total magnetization comes out at 1.30 μB per cell.

6.
The following is a DFT calculation (PBE) of a geometry-optimized NdYMn4 structure.

The space group is F-43m (No. 216) and the conventional cell measures 7.3655, 7.3655 and 7.3655 Å, with angles of 90.00, 90.00 and 90.00 degrees. Symmetry generates all atoms from Nd at (0.0000, 0.0000, 0.0000), Y at (0.2500, 0.2500, 0.2500) and Mn at (0.1240, 0.1240, 0.6240).

As for the formation enthalpy at 0 K: 239.5 meV/atom. The total magnetization comes out at 25.54 μB per cell.

7.
The following is a DFT calculation (PBE) of a geometry-optimized Nd2YMn structure.

The space group is P4/mmm (No. 123) and the conventional cell measures 3.6457, 3.6457 and 8.8765 Å, with angles of 90.00, 90.00 and 90.00 degrees. Symmetry generates all atoms from Nd at (0.0000, 0.0000, 0.2081), Y at (0.5000, 0.5000, 0.5000) and Mn at (0.5000, 0.5000, 0.0000).

As for the formation enthalpy at 0 K: 175.9 meV/atom. The total magnetization comes out at 4.07 μB per cell.

8.
The following is a DFT calculation (PBE) of a geometry-optimized NdYMn structure.

The space group is I4mm (No. 107) and the conventional cell measures 3.5581, 3.5581 and 12.9867 Å, with angles of 90.00, 90.00 and 90.00 degrees. Symmetry generates all atoms from Nd at (0.0000, 0.0000, 0.0000), Y at (0.0000, 0.0000, 0.2736) and Mn at (0.0000, 0.0000, 0.6415).

As for the formation enthalpy at 0 K: 197.9 meV/atom. The total magnetization comes out at 5.67 μB per cell.

9.
The following is a DFT calculation (PBE) of a geometry-optimized NdMnZn2 structure.

The space group is R-3m (No. 166, hexagonal axes) and the conventional cell measures 4.3102, 4.3102 and 15.5942 Å, with angles of 90.00, 90.00 and 120.00 degrees. Symmetry generates all atoms from Nd at (0.0000, 0.0000, 0.0000), Mn at (0.0000, 0.0000, 0.5000) and Zn at (0.0000, 0.0000, 0.2070).

As for the formation enthalpy at 0 K: -62.4 meV/atom. The total magnetization comes out at 9.78 μB per cell.

10.
The following is a DFT calculation (PBE) of a geometry-optimized Nd2Mn2Zn15 structure.

The space group is R-3m (No. 166, hexagonal axes) and the conventional cell measures 9.0353, 9.0353 and 13.3119 Å, with angles of 90.00, 90.00 and 120.00 degrees. Symmetry generates all atoms from Nd at (0.0000, 0.0000, 0.1624), Mn at (0.0000, 0.0000, 0.4008), Zn at (0.0000, 0.2840, 0.5000), Zn at (0.0000, 0.5000, 0.0000) and Zn at (0.0029, 0.5014, 0.6501).

As for the formation enthalpy at 0 K: -181.7 meV/atom. The total magnetization comes out at 21.61 μB per cell.

11.
The following is a DFT calculation (PBE) of a geometry-optimized Nd2MnZn structure.

The space group is P4/mmm (No. 123) and the conventional cell measures 3.6904, 3.6904 and 7.3252 Å, with angles of 90.00, 90.00 and 90.00 degrees. Symmetry generates all atoms from Nd at (0.0000, 0.0000, 0.2484), Mn at (0.5000, 0.5000, 0.0000) and Zn at (0.5000, 0.5000, 0.5000).

As for the formation enthalpy at 0 K: -5.1 meV/atom. The total magnetization comes out at 3.18 μB per cell.

12.
The following is a DFT calculation (PBE) of a geometry-optimized NdMnZn4 structure.

The space group is F-43m (No. 216) and the conventional cell measures 7.4852, 7.4852 and 7.4852 Å, with angles of 90.00, 90.00 and 90.00 degrees. Symmetry generates all atoms from Nd at (0.0000, 0.0000, 0.0000), Mn at (0.2500, 0.2500, 0.2500) and Zn at (0.1236, 0.1236, 0.6236).

As for the formation enthalpy at 0 K: -90.4 meV/atom. The total magnetization comes out at 9.97 μB per cell.